Entry 1:
Dy3SnRu2 PBE-GGA relaxed; SG = No. 123; D(E_F) = 0.426 states/eV/atom; crystal system = tetragonal; electronic total energy = -39.2 eV for the cell shown
1.0
3.4507 0.0000 0.0000
0.0000 3.4507 0.0000
0.0000 0.0000 11.1288
Dy Ru Sn
3 2 1
Cartesian
0.0000 0.0000 0.0000
0.0000 0.0000 7.8085
0.0000 0.0000 3.3204
1.7254 1.7254 1.7275
1.7254 1.7254 9.4013
1.7254 1.7254 5.5644

---

Entry 2:
Dy6SnRu2 PBE-GGA relaxed; SG = No. 71; D(E_F) = 0.775 states/eV/atom; crystal system = orthorhombic; electronic total energy = -108.4 eV for the cell shown
1.0
-3.5186 4.7975 -6.0510
5.6158 -5.5899 -3.0375
-5.7685 -4.8407 3.9117
Dy Ru Sn
12 4 2
Cartesian
-1.0846 -0.2361 -3.0069
-0.1956 -0.5721 -6.8595
0.5528 -7.2190 -2.2539
-2.5867 -5.3971 -2.1698
-2.0326 -7.9458 0.2238
-1.9529 -2.5028 -0.2324
-1.6387 2.3126 -5.4005
0.6043 -3.7066 -2.5483
-3.4757 -5.0611 1.6828
-4.2756 -1.9266 -2.6285
-4.2242 1.5858 -2.9228
-1.7185 -3.1304 -4.9443
1.0288 -1.7486 -4.4309
-3.0209 -0.0141 -0.6958
-6.2663 -0.0292 -1.4434
-4.7001 -3.8846 -0.7459
-0.0764 -5.2153 0.4371
0.0000 0.0000 0.0000

---

Entry 3:
Dy4SnRu PBE-GGA relaxed; SG = No. 15; D(E_F) = 0.909 states/eV/atom; crystal system = monoclinic; electronic total energy = -69.2 eV for the cell shown
1.0
-1.1119 3.1480 -5.1359
4.9167 -6.5978 -2.1057
-7.3651 -1.9955 2.5230
Ru Dy Sn
2 8 2
Cartesian
-0.2811 0.7849 -1.2846
-3.2791 -6.2302 -3.4340
-0.0766 -0.4161 -3.9420
-5.3538 -2.9422 1.4568
1.7936 -2.5031 -6.1753
-0.6608 -6.3521 -2.2482
-3.4836 -5.0292 -0.7766
-2.8994 0.9068 -2.4704
-1.3505 -1.8486 -0.8399
-2.2098 -3.5968 -3.8787
0.7765 -3.4681 -2.6189
-4.3367 -1.9773 -2.0996

---

Entry 4:
Dy2Sn5Ru3 PBE-GGA relaxed; SG = No. 36; D(E_F) = 0.787 states/eV/atom; crystal system = orthorhombic; electronic total energy = -122.3 eV for the cell shown
1.0
4.3771 0.0000 -0.7456
0.0000 7.2014 0.0000
0.0431 0.0000 13.4735
Dy Sn Ru
4 10 6
Cartesian
3.6456 1.6863 8.1806
2.2899 1.8212 0.2224
0.7746 5.2869 4.5473
2.1303 5.4219 12.5055
4.2019 0.6031 11.4462
1.2989 3.7152 7.6251
3.1213 0.1145 5.1028
0.2183 4.2038 1.2817
3.1087 3.1977 5.0286
3.8768 5.3863 9.5378
0.5434 1.7856 3.1901
1.3115 6.7984 7.6993
2.6227 6.3579 2.1759
1.7975 2.7572 10.5520
1.7582 0.0347 10.3216
3.4203 5.2420 6.8579
4.2012 3.3883 11.4424
0.2190 6.9890 1.2856
2.6620 3.6354 2.4063
0.9999 1.6413 5.8700

---

Entry 5:
TbDySnRu PBE-GGA relaxed; SG = No. 38; D(E_F) = 0.467 states/eV/atom; E above lowest polymorph = 0 kJ/mol of formula units; crystal system = orthorhombic; electronic total energy = -24.5 eV for the cell shown
1.0
4.6039 0.0000 0.0000
0.0000 3.6704 0.0000
-2.3019 0.0000 5.8066
Tb Dy Sn Ru
1 1 1 1
Cartesian
0.0000 0.0000 1.9263
2.3019 1.8352 4.2446
2.3019 1.8352 0.8191
0.0000 0.0000 4.6231

---

Entry 6:
TbDySnRu PBE-GGA relaxed; SG = No. 216; D(E_F) = 0.650 states/eV/atom; E above lowest polymorph = 36 kJ/mol of formula units; crystal system = cubic; electronic total energy = -24.1 eV for the cell shown
1.0
5.0825 0.0000 0.0000
2.5412 4.4016 0.0000
2.5412 1.4672 4.1498
Sn Tb Dy Ru
1 1 1 1
Cartesian
5.0825 2.9344 2.0749
7.6237 4.4016 3.1124
2.5412 1.4672 1.0375
0.0000 0.0000 0.0000

---

Entry 7:
DyTmSnRu PBE-GGA relaxed; SG = No. 216; D(E_F) = 0.613 states/eV/atom; crystal system = cubic; electronic total energy = -24.1 eV for the cell shown
1.0
-2.1573 4.4731 0.8423
-2.4539 2.3525 -3.7170
-5.0200 0.3875 0.1464
Tm Dy Sn Ru
1 1 1 1
Cartesian
-4.8156 3.6066 -1.3642
0.0000 0.0000 0.0000
-2.4078 1.8033 -0.6821
-7.2234 5.4098 -2.0463

---

Entry 8:
SrDyRu PBE-GGA relaxed; SG = No. 12; D(E_F) = 0.625 states/eV/atom; crystal system = monoclinic; electronic total energy = -63.3 eV for the cell shown
1.0
-2.6150 -3.1875 0.3777
3.8722 -3.7061 -4.4667
9.4316 -4.1642 7.4660
Dy Sr Ru
4 4 4
Cartesian
4.1374 -3.0881 2.5844
4.9111 -6.3259 3.3081
5.7777 -4.7319 0.0689
6.5515 -7.9698 0.7925
2.7422 -5.1905 -2.1265
8.3805 -9.1839 3.2099
2.3083 -1.8740 0.1671
7.9467 -5.8673 5.5035
5.5366 -3.9620 4.8973
3.0851 -5.1068 0.9545
7.6037 -5.9511 2.4225
5.1522 -7.0959 -1.5203